## TmZrZnNi (PBE)

Data for an optimized crystal structure of TmZrZnNi.

Cell lengths 4.7400, 4.7400, 4.7400 Å; angles 60.00, 60.00, 60.00 degrees
Closest atoms and distances in Å follow each position.
Atoms (fractional coordinates):
Tm 0.0000 0.0000 0.0000  4 Ni 2.90, 4 Zn 2.90
Zr 0.5000 0.5000 0.5000  4 Ni 2.90, 4 Zn 2.90
Zn 0.2500 0.2500 0.2500  4 Zr 2.90, 4 Tm 2.90
Ni 0.7500 0.7500 0.7500  4 Zr 2.90, 4 Tm 2.90

Summary:
electronic total energy = -5.289 eV/atom
N(E_F) = 1.00 states/eV/atom


## Tm2ZrNi (PBE)

Data for an optimized crystal structure of Tm2ZrNi.

Cell lengths 10.3284, 10.3284, 10.3284 Å; angles 18.40, 18.40, 18.40 degrees
Closest atoms and distances in Å follow each position.
Atoms (fractional coordinates):
Tm 0.1046 0.1046 0.1046  3 Ni 2.69
Tm 0.8954 0.8954 0.8954  3 Ni 2.69
Zr 0.0000 0.0000 0.0000  2 Tm 3.18, 6 Zr 3.30
Ni 0.5000 0.5000 0.5000  6 Tm 2.69

Summary:
E above lowest polymorph = 0.365 eV per atom
N(E_F) = 0.71 states/eV/atom


## TmZrNi2 (PBE)

Data for an optimized crystal structure of TmZrNi2.

Cell lengths 4.6221, 4.6221, 4.6221 Å; angles 60.00, 60.00, 60.00 degrees
Closest atoms and distances in Å follow each position.
Atoms (fractional coordinates):
Tm 0.0000 0.0000 0.0000  8 Ni 2.83
Zr 0.5000 0.5000 0.5000  8 Ni 2.83
Ni 0.2500 0.2500 0.2500  4 Zr 2.83, 4 Tm 2.83
Ni 0.7500 0.7500 0.7500  4 Zr 2.83, 4 Tm 2.83

Summary:
E above lowest polymorph = 0.074 eV per atom
N(E_F) = 0.73 states/eV/atom


## Tm2ZrNi9 (PBE)

Data for an optimized crystal structure of Tm2ZrNi9.

Cell lengths 4.8765, 4.8765, 16.1242 Å; angles 90.00, 90.00, 120.00 degrees
Closest atoms and distances in Å follow each position.
Atoms (fractional coordinates):
Tm 0.3333 0.6667 0.0432  12 Ni 2.79-3.08
Tm 0.3333 0.6667 0.4568  12 Ni 2.79-3.08
Tm 0.6667 0.3333 0.5432  12 Ni 2.79-3.08
Tm 0.6667 0.3333 0.9568  12 Ni 2.79-3.08
Zr 0.3333 0.6667 0.2500  18 Ni 2.82-3.14
Zr 0.6667 0.3333 0.7500  18 Ni 2.82-3.14
Ni 0.0000 0.0000 0.0000  6 Ni 2.49
Ni 0.0000 0.0000 0.2500  6 Ni 2.44
Ni 0.0000 0.0000 0.5000  6 Ni 2.49
Ni 0.0000 0.0000 0.7500  6 Ni 2.44
Ni 0.1671 0.3343 0.6269  7 Ni 2.43-2.49
Ni 0.1671 0.3343 0.8731  7 Ni 2.43-2.49
Ni 0.1671 0.8329 0.6269  7 Ni 2.43-2.49
Ni 0.1671 0.8329 0.8731  7 Ni 2.43-2.49
Ni 0.3333 0.6667 0.7500  6 Ni 2.43
Ni 0.3343 0.1671 0.1269  7 Ni 2.43-2.49
Ni 0.3343 0.1671 0.3731  7 Ni 2.43-2.49
Ni 0.6657 0.8329 0.6269  7 Ni 2.43-2.49
Ni 0.6657 0.8329 0.8731  7 Ni 2.43-2.49
Ni 0.6667 0.3333 0.2500  6 Ni 2.43
Ni 0.8329 0.1671 0.1269  7 Ni 2.43-2.49
Ni 0.8329 0.1671 0.3731  7 Ni 2.43-2.49
Ni 0.8329 0.6657 0.1269  7 Ni 2.43-2.49
Ni 0.8329 0.6657 0.3731  7 Ni 2.43-2.49

Summary:
electronic total energy = -6.210 eV/atom
N(E_F) = 0.93 states/eV/atom


## Tm2ZrNi (PBE)

Data for an optimized crystal structure of Tm2ZrNi.

Cell lengths 3.3601, 3.3601, 7.8992 Å; angles 90.00, 90.00, 90.00 degrees
Closest atoms and distances in Å follow each position.
Atoms (fractional coordinates):
Tm 0.0000 0.0000 0.2059  4 Ni 2.88
Tm 0.0000 0.0000 0.7941  4 Ni 2.88
Zr 0.5000 0.5000 0.5000  8 Tm 3.32, 4 Zr 3.36
Ni 0.5000 0.5000 0.0000  8 Tm 2.88

Summary:
E above lowest polymorph = 0.000 eV per atom
N(E_F) = 1.23 states/eV/atom


## TmZr3Ni8 (PBE)

Data for an optimized crystal structure of TmZr3Ni8.

Cell lengths 4.9499, 4.9499, 8.1161 Å; angles 90.00, 90.00, 120.00 degrees
Closest atoms and distances in Å follow each position.
Atoms (fractional coordinates):
Tm 0.0000 0.0000 0.0000  12 Ni 2.90-2.94, 4 Zr 3.04-3.07
Zr 0.0000 0.0000 0.3777  12 Ni 2.87-2.91, 3 Zr 3.02, 1 Tm 3.07
Zr 0.6667 0.3333 0.4972  12 Ni 2.87-2.90, 4 Zr 3.02-3.03
Zr 0.6667 0.3333 0.8707  12 Ni 2.90-2.96, 1 Zr 3.03, 3 Tm 3.04
Ni 0.9997 0.4999 0.1900  6 Ni 2.46-2.50
Ni 0.1668 0.3337 0.6838  6 Ni 2.46-2.50
Ni 0.1668 0.8332 0.6838  6 Ni 2.46-2.50
Ni 0.3333 0.6667 0.4371  6 Ni 2.46
Ni 0.3333 0.6667 0.9371  6 Ni 2.50
Ni 0.5001 0.0003 0.1900  6 Ni 2.46-2.50
Ni 0.5001 0.4999 0.1900  6 Ni 2.46-2.50
Ni 0.6663 0.8332 0.6838  6 Ni 2.46-2.50

Summary:
electronic total energy = -6.781 eV/atom
N(E_F) = 0.95 states/eV/atom


## Tm2Zr3Ni4 (PBE)

Data for an optimized crystal structure of Tm2Zr3Ni4.

Cell lengths 6.8220, 6.8963, 7.6789 Å; angles 90.00, 109.37, 90.00 degrees
Closest atoms and distances in Å follow each position.
Atoms (fractional coordinates):
Tm 0.1983 0.1685 0.0944  6 Ni 2.83-3.07
Tm 0.1983 0.3315 0.5944  6 Ni 2.83-3.07
Tm 0.8017 0.6685 0.4056  6 Ni 2.83-3.07
Tm 0.8017 0.8315 0.9056  6 Ni 2.83-3.07
Zr 0.2419 0.6527 0.2529  6 Ni 2.60-2.72
Zr 0.2419 0.8473 0.7529  6 Ni 2.60-2.72
Zr 0.5000 0.0000 0.5000  4 Ni 2.61-2.68
Zr 0.5000 0.5000 0.0000  4 Ni 2.61-2.68
Zr 0.7581 0.1527 0.2471  6 Ni 2.60-2.72
Zr 0.7581 0.3473 0.7471  6 Ni 2.60-2.72
Ni 0.0978 0.5463 0.8911  1 Ni 2.54, 4 Zr 2.60-2.72
Ni 0.0978 0.9537 0.3911  1 Ni 2.54, 4 Zr 2.60-2.72
Ni 0.4867 0.6329 0.6119  1 Ni 2.56, 4 Zr 2.67-2.71, 1 Tm 2.83
Ni 0.4867 0.8671 0.1119  1 Ni 2.56, 4 Zr 2.67-2.71, 1 Tm 2.83
Ni 0.5133 0.1329 0.8881  1 Ni 2.56, 4 Zr 2.67-2.71, 1 Tm 2.83
Ni 0.5133 0.3671 0.3881  1 Ni 2.56, 4 Zr 2.67-2.71, 1 Tm 2.83
Ni 0.9022 0.0463 0.6089  1 Ni 2.54, 4 Zr 2.60-2.72
Ni 0.9022 0.4537 0.1089  1 Ni 2.54, 4 Zr 2.60-2.72

Summary:
electronic total energy = -6.799 eV/atom
N(E_F) = 0.96 states/eV/atom


## Tm12ZrNi6 (PBE)

Data for an optimized crystal structure of Tm12ZrNi6.

Cell lengths 8.3209, 8.3209, 8.3209 Å; angles 109.47, 109.47, 109.47 degrees
Closest atoms and distances in Å follow each position.
Atoms (fractional coordinates):
Tm 0.1201 0.3037 0.8164  3 Ni 2.64-2.85
Tm 0.1836 0.4872 0.3037  3 Ni 2.64-2.85
Tm 0.1836 0.8799 0.6963  3 Ni 2.64-2.85
Tm 0.3037 0.1836 0.4872  3 Ni 2.64-2.85
Tm 0.3037 0.8164 0.1201  3 Ni 2.64-2.85
Tm 0.4872 0.3037 0.1836  3 Ni 2.64-2.85
Tm 0.5128 0.6963 0.8164  3 Ni 2.64-2.85
Tm 0.6963 0.1836 0.8799  3 Ni 2.64-2.85
Tm 0.6963 0.8164 0.5128  3 Ni 2.64-2.85
Tm 0.8164 0.1201 0.3037  3 Ni 2.64-2.85
Tm 0.8164 0.5128 0.6963  3 Ni 2.64-2.85
Tm 0.8799 0.6963 0.1836  3 Ni 2.64-2.85
Zr 0.0000 0.0000 0.0000  12 Tm 3.41
Ni 0.1246 0.5000 0.6246  1 Ni 2.39, 2 Tm 2.64
Ni 0.3754 0.8754 0.5000  1 Ni 2.39, 2 Tm 2.64
Ni 0.5000 0.3754 0.8754  1 Ni 2.39, 2 Tm 2.64
Ni 0.5000 0.6246 0.1246  1 Ni 2.39, 2 Tm 2.64
Ni 0.6246 0.1246 0.5000  1 Ni 2.39, 2 Tm 2.64
Ni 0.8754 0.5000 0.3754  1 Ni 2.39, 2 Tm 2.64

Summary:
electronic total energy = -5.352 eV/atom
N(E_F) = 1.40 states/eV/atom


## TmZrNi2 (PBE)

Data for an optimized crystal structure of TmZrNi2.

Cell lengths 3.2769, 3.2769, 6.5940 Å; angles 90.00, 90.00, 90.00 degrees
Closest atoms and distances in Å follow each position.
Atoms (fractional coordinates):
Tm 0.0000 0.0000 0.0000  8 Ni 2.97, 4 Tm 3.28, 2 Zr 3.30
Zr 0.0000 0.0000 0.5000  8 Ni 2.73
Ni 0.5000 0.5000 0.2812  4 Zr 2.73, 1 Ni 2.89, 4 Tm 2.97
Ni 0.5000 0.5000 0.7188  4 Zr 2.73, 1 Ni 2.89, 4 Tm 2.97

Summary:
E above lowest polymorph = 0.043 eV per atom
N(E_F) = 1.09 states/eV/atom


## Tm2ZrNi9 (PBE)

Data for an optimized crystal structure of Tm2ZrNi9.

Cell lengths 8.5477, 8.5477, 8.5477 Å; angles 33.14, 33.14, 33.14 degrees
Closest atoms and distances in Å follow each position.
Atoms (fractional coordinates):
Tm 0.1379 0.1379 0.1379  12 Ni 2.79-3.08
Tm 0.8621 0.8621 0.8621  12 Ni 2.79-3.08
Zr 0.0000 0.0000 0.0000  18 Ni 2.81-3.14
Ni 0.0807 0.5827 0.5827  7 Ni 2.43-2.49
Ni 0.3334 0.3334 0.3334  6 Ni 2.43-2.44
Ni 0.4173 0.4173 0.9193  7 Ni 2.43-2.49
Ni 0.4173 0.9193 0.4173  7 Ni 2.43-2.49
Ni 0.5000 0.5000 0.5000  6 Ni 2.49
Ni 0.5827 0.0807 0.5827  7 Ni 2.43-2.49
Ni 0.5827 0.5827 0.0807  7 Ni 2.43-2.49
Ni 0.6666 0.6666 0.6666  6 Ni 2.43-2.44
Ni 0.9193 0.4173 0.4173  7 Ni 2.43-2.49

Summary:
electronic total energy = -6.209 eV/atom
N(E_F) = 1.31 states/eV/atom